The following is a PBE calculation of crystalline CdHgSb2W at its relaxed geometry, from Alexandria.

Properties
**SG**: P4/mmm (123)
**D(E_F)**: 4.767 states/eV per cell
**ΔE_f (raw)**: 1.59 eV per atom
**Total energy**: -2.891 eV per atom
**Crystal system**: tetragonal

Cell: 5.491 5.491 5.340 Å, 90.00 90.00 90.00°
Atoms (fractional coordinates):
Cd 0.000 0.000 0.000
Hg 0.500 0.500 0.500
Sb 0.000 0.500 0.500
Sb 0.500 0.000 0.500
W 0.500 0.500 0.000